(1)
! Li3PaNb2Se6, relaxed, DFT PBE; values from VASP
&SYSTEM
  ibrav = 0, nat = 12, ntyp = 4
/
ATOMIC_SPECIES
Li 6.94 Li.upf
Pa 231.04 Pa.upf
Nb 92.91 Nb.upf
Se 78.96 Se.upf
CELL_PARAMETERS angstrom
3.2658 -5.5304 0.0000
3.2658 5.5304 0.0000
-2.0229 0.0000 6.8080
ATOMIC_POSITIONS angstrom
Li 0.0000 0.0000 0.0000
Li 3.2658 1.9171 0.0000
Li 3.2658 -1.9171 0.0000
Pa 2.2544 0.0000 3.4040
Nb 2.2544 4.0903 3.4040
Nb 2.2544 -4.0903 3.4040
Se 1.0812 1.9779 1.7895
Se 0.0949 0.0000 5.2831
Se 1.0812 -1.9779 1.7895
Se 3.4276 1.9779 5.0185
Se 4.4138 0.0000 1.5249
Se 3.4276 -1.9779 5.0185
! * symmetry: No. 12
! * uncorrected formation energy: -106.2 kJ per mole of atoms


(2)
! Li2Nb2Pb, relaxed, DFT PBE; values from VASP
&SYSTEM
  ibrav = 0, nat = 10, ntyp = 3
/
ATOMIC_SPECIES
Li 6.94 Li.upf
Nb 92.91 Nb.upf
Pb 207.20 Pb.upf
CELL_PARAMETERS angstrom
7.8282 0.0000 0.0000
0.0000 7.8282 0.0000
0.0000 0.0000 3.0939
ATOMIC_POSITIONS angstrom
Li 1.4448 2.4693 0.0000
Li 2.4693 6.3834 0.0000
Li 5.3589 1.4448 0.0000
Li 6.3834 5.3589 0.0000
Nb 0.8814 4.7955 1.5470
Nb 3.0328 0.8814 1.5470
Nb 4.7955 6.9469 1.5470
Nb 6.9469 3.0328 1.5470
Pb 0.0000 0.0000 1.5470
Pb 3.9141 3.9141 1.5470
! * symmetry: No. 127
! * ΔE_f: 510 meV/atom
! * relative energy among the computed polymorphs: 0.00 kcal/mol of atoms


(3)
! Li2Nb2Pb, relaxed, DFT PBE; values from VASP
&SYSTEM
  ibrav = 0, nat = 10, ntyp = 3
/
ATOMIC_SPECIES
Li 6.94 Li.upf
Nb 92.91 Nb.upf
Pb 207.20 Pb.upf
CELL_PARAMETERS angstrom
3.8784 0.0000 0.0000
0.0000 3.8784 0.0000
0.0000 0.0000 14.0558
ATOMIC_POSITIONS angstrom
Li 0.0000 1.9392 3.5139
Li 0.0000 1.9392 10.5418
Li 1.9392 0.0000 3.5139
Li 1.9392 0.0000 10.5418
Nb 0.0000 0.0000 1.1779
Nb 0.0000 0.0000 12.8778
Nb 1.9392 1.9392 5.8500
Nb 1.9392 1.9392 8.2058
Pb 0.0000 0.0000 7.0279
Pb 1.9392 1.9392 0.0000
! * symmetry: No. 139
! * ΔE_f: 602 meV/atom
! * relative energy among the computed polymorphs: 2.12 kcal/mol of atoms


(4)
! LiNbPb3, relaxed, DFT PBE; values from VASP
&SYSTEM
  ibrav = 0, nat = 5, ntyp = 3
/
ATOMIC_SPECIES
Li 6.94 Li.upf
Nb 92.91 Nb.upf
Pb 207.20 Pb.upf
CELL_PARAMETERS angstrom
5.5415 0.0000 0.0000
0.0000 5.5415 0.0000
0.0000 0.0000 5.5415
ATOMIC_POSITIONS angstrom
Li 0.0000 0.0000 0.0000
Nb 2.7707 2.7707 2.7707
Pb 0.0000 2.7707 2.7707
Pb 2.7707 0.0000 2.7707
Pb 2.7707 2.7707 0.0000
! * symmetry: No. 221
! * ΔE_f: 341 meV/atom
! * relative energy among the computed polymorphs: 0.00 kcal/mol of atoms


(5)
! LiNbPb3, relaxed, DFT PBE; values from VASP
&SYSTEM
  ibrav = 0, nat = 5, ntyp = 3
/
ATOMIC_SPECIES
Li 6.94 Li.upf
Nb 92.91 Nb.upf
Pb 207.20 Pb.upf
CELL_PARAMETERS angstrom
5.0204 0.0000 0.0000
0.0000 5.0204 0.0000
0.0000 0.0000 5.0204
ATOMIC_POSITIONS angstrom
Li 0.0000 0.0000 0.0000
Nb 2.5102 2.5102 2.5102
Pb 0.0000 0.0000 2.5102
Pb 0.0000 2.5102 0.0000
Pb 2.5102 0.0000 0.0000
! * symmetry: No. 221
! * ΔE_f: 843 meV/atom
! * relative energy among the computed polymorphs: 11.58 kcal/mol of atoms


(6)
! Li2NbPb, relaxed, DFT PBE; values from VASP
&SYSTEM
  ibrav = 0, nat = 16, ntyp = 3
/
ATOMIC_SPECIES
Li 6.94 Li.upf
Nb 92.91 Nb.upf
Pb 207.20 Pb.upf
CELL_PARAMETERS angstrom
7.5209 0.0000 0.0000
0.0000 7.5209 0.0000
0.0000 0.0000 5.6841
ATOMIC_POSITIONS angstrom
Li 1.8170 1.8802 0.7105
Li 1.8802 5.5774 2.1315
Li 1.8802 5.7039 4.9736
Li 1.9434 1.8802 3.5526
Li 5.5774 5.6406 3.5526
Li 5.6406 1.8170 4.9736
Li 5.6406 1.9434 2.1315
Li 5.7039 5.6406 0.7105
Nb 0.0000 0.0000 2.8421
Nb 0.0000 3.7604 4.2631
Nb 3.7604 0.0000 1.4210
Nb 3.7604 3.7604 0.0000
Pb 0.0000 0.0000 0.0000
Pb 0.0000 3.7604 1.4210
Pb 3.7604 0.0000 4.2631
Pb 3.7604 3.7604 2.8421
! * symmetry: No. 122
! * ΔE_f: 524 meV/atom


(7)
! LiNbRhPb2, relaxed, DFT PBE; values from VASP
&SYSTEM
  ibrav = 0, nat = 5, ntyp = 4
/
ATOMIC_SPECIES
Li 6.94 Li.upf
Nb 92.91 Nb.upf
Rh 102.91 Rh.upf
Pb 207.20 Pb.upf
CELL_PARAMETERS angstrom
5.5613 0.0000 0.0000
0.0000 5.5613 0.0000
0.0000 0.0000 4.7194
ATOMIC_POSITIONS angstrom
Li 0.0000 0.0000 0.0000
Nb 2.7807 2.7807 2.3597
Rh 2.7807 2.7807 0.0000
Pb 0.0000 2.7807 2.3597
Pb 2.7807 0.0000 2.3597
! * symmetry: No. 123
! * ΔE_f: 548 meV/atom


(8)
! LiNbRuPb, relaxed, DFT PBE; values from VASP
&SYSTEM
  ibrav = 0, nat = 16, ntyp = 4
/
ATOMIC_SPECIES
Li 6.94 Li.upf
Nb 92.91 Nb.upf
Ru 101.07 Ru.upf
Pb 207.20 Pb.upf
CELL_PARAMETERS angstrom
6.4350 0.0000 0.0000
0.0000 6.4350 0.0000
0.0000 0.0000 6.4350
ATOMIC_POSITIONS angstrom
Li 0.0000 0.0000 0.0000
Li 0.0000 3.2175 3.2175
Li 3.2175 0.0000 3.2175
Li 3.2175 3.2175 0.0000
Nb 1.6087 1.6087 1.6087
Nb 1.6087 4.8262 4.8262
Nb 4.8262 1.6087 4.8262
Nb 4.8262 4.8262 1.6087
Ru 0.0000 0.0000 3.2175
Ru 0.0000 3.2175 0.0000
Ru 3.2175 0.0000 0.0000
Ru 3.2175 3.2175 3.2175
Pb 1.6087 1.6087 4.8262
Pb 1.6087 4.8262 1.6087
Pb 4.8262 1.6087 1.6087
Pb 4.8262 4.8262 4.8262
! * symmetry: No. 216
! * ΔE_f: -99 meV/atom


(9)
! LiNbPbS4, relaxed, DFT PBE; values from VASP
&SYSTEM
  ibrav = 0, nat = 14, ntyp = 4
/
ATOMIC_SPECIES
Li 6.94 Li.upf
Nb 92.91 Nb.upf
Pb 207.20 Pb.upf
S 32.06 S.upf
CELL_PARAMETERS angstrom
7.1411 0.0000 0.0000
0.0000 7.0973 0.0000
-2.8073 0.0000 7.5905
ATOMIC_POSITIONS angstrom
Li 1.6319 1.7743 0.1179
Li 2.7019 5.3230 7.4725
Nb 1.1205 5.3230 1.2931
Nb 3.2133 1.7743 6.2974
Pb 0.7185 1.7743 3.5723
Pb 3.6152 5.3230 4.0182
S -1.9129 1.7743 5.2684
S -1.9903 5.3230 6.6615
S 2.4433 0.0408 1.9373
S 2.4433 3.5079 1.9373
S 1.8904 3.5895 5.6532
S 1.8904 7.0565 5.6532
S 6.3241 1.7743 0.9290
S 6.2467 5.3230 2.3221
! * symmetry: No. 11
! * uncorrected formation energy: -77.3 kJ per mole of atoms


(10)
! Li2NbSbPb, relaxed, DFT PBE; values from VASP
&SYSTEM
  ibrav = 0, nat = 5, ntyp = 4
/
ATOMIC_SPECIES
Li 6.94 Li.upf
Nb 92.91 Nb.upf
Sb 121.76 Sb.upf
Pb 207.20 Pb.upf
CELL_PARAMETERS angstrom
4.7668 0.0000 0.0000
0.0000 4.7668 0.0000
0.0000 0.0000 6.1731
ATOMIC_POSITIONS angstrom
Li 0.0000 2.3834 0.0000
Li 2.3834 0.0000 0.0000
Nb 0.0000 0.0000 3.0865
Sb 2.3834 2.3834 0.0000
Pb 2.3834 2.3834 3.0865
! * symmetry: No. 123
! * uncorrected formation energy: 75.0 kJ per mole of atoms


(11)
! Sr2LiNbPb, relaxed, DFT PBE; values from VASP
&SYSTEM
  ibrav = 0, nat = 5, ntyp = 4
/
ATOMIC_SPECIES
Sr 87.62 Sr.upf
Li 6.94 Li.upf
Nb 92.91 Nb.upf
Pb 207.20 Pb.upf
CELL_PARAMETERS angstrom
6.2019 0.0000 0.0000
0.0000 6.2019 0.0000
0.0000 0.0000 5.0920
ATOMIC_POSITIONS angstrom
Sr 0.0000 3.1010 0.0000
Sr 3.1010 0.0000 0.0000
Li 0.0000 0.0000 2.5460
Nb 0.0000 0.0000 0.0000
Pb 3.1010 3.1010 2.5460
! * symmetry: No. 123
! * ΔE_f: 851 meV/atom


(12)
! Li2TiNbPb, relaxed, DFT PBE; values from VASP
&SYSTEM
  ibrav = 0, nat = 5, ntyp = 4
/
ATOMIC_SPECIES
Li 6.94 Li.upf
Ti 47.87 Ti.upf
Nb 92.91 Nb.upf
Pb 207.20 Pb.upf
CELL_PARAMETERS angstrom
4.6031 0.0000 0.0000
0.0000 4.6031 0.0000
0.0000 0.0000 5.2680
ATOMIC_POSITIONS angstrom
Li 0.0000 2.3015 0.0000
Li 2.3015 0.0000 0.0000
Ti 0.0000 0.0000 0.0000
Nb 2.3015 2.3015 2.6340
Pb 0.0000 0.0000 2.6340
! * symmetry: No. 123
! * ΔE_f: 1211 meV/atom


Calculated calculated volume, 245.92, 189.60, 211.43, 170.17, 126.54, 321.51, 145.96, 266.46, 384.70, 140.27, 195.86, 111.62 Å³/cell (same order as the records).